[1]
Here is a relaxed structure of AlCd9Hg2 from the Alexandria database. Energies are from GGA-PBE.

a b c (Å): 5.6106 5.6106 8.7605
angles (deg): 90.00 90.00 90.00
Closest atoms and distances in Å follow each position.
Space group P4/mmm (No. 123)
Asymmetric unit:
Al1 0.0000 0.0000 0.0000  2 Hg 2.85, 8 Cd 3.15
Cd1 0.0000 0.5000 0.1647  6 Cd 2.89-3.17, 2 Hg 3.14, 2 Al 3.15
Cd2 0.0000 0.5000 0.5000  6 Cd 2.94-3.16, 4 Hg 3.19
Cd3 0.5000 0.5000 0.0000  10 Cd 2.92-3.15
Cd4 0.5000 0.5000 0.3328  10 Cd 2.92-3.17
Hg1 0.0000 0.0000 0.3256  1 Al 2.85, 1 Hg 3.06, 8 Cd 3.14-3.19

Output
total magnetic moment	0.00	μB per cell
DFT formation energy	0.0484	eV/atom


[2]
Here is a relaxed structure of Pm16Pr6Sm7 from the Alexandria database. Energies are from GGA-PBE.

a b c (Å): 16.1364 16.1364 16.1364
angles (deg): 90.00 90.00 90.00
Closest atoms and distances in Å follow each position.
Space group Fm-3m (No. 225)
Asymmetric unit:
Pm1 0.1265 0.1265 0.1265  4 Sm 3.48-3.54, 3 Pm 3.62, 3 Pr 3.72
Pm2 0.1518 0.1518 0.3482  3 Sm 3.32, 3 Pm 3.62, 3 Pr 3.68
Pr1 0.0000 0.0000 0.2722  8 Pm 3.68-3.72, 4 Sm 4.05
Sm1 0.0000 0.0000 0.0000  8 Pm 3.54
Sm2 0.0000 0.2500 0.2500  8 Pm 3.32-3.48

Output
total magnetic moment	0.00	μB per cell
DFT formation energy	0.2081	eV/atom


[3]
Here is a relaxed structure of SbPd3S from the Alexandria database. Energies are from GGA-PBE.

a b c (Å): 4.5804 4.5804 4.5804
angles (deg): 90.00 90.00 90.00
Closest atoms and distances in Å follow each position.
Space group Pm-3m (No. 221)
Asymmetric unit:
Sb1 0.0000 0.0000 0.0000  12 Pd 3.24
Pd1 0.0000 0.5000 0.5000  2 S 2.29
S1 0.5000 0.5000 0.5000  6 Pd 2.29

Output
energy relative to the elements, uncorrected	-0.062	eV/atom
offset from the most stable computed form	0.86	eV per formula unit
total magnetic moment	0.00	μB per cell


[4]
Here is a relaxed structure of AlVW2 from the Alexandria database. Energies are from GGA-PBE.

a b c (Å): 2.7071 4.3561 5.2535
angles (deg): 90.00 100.67 90.00
Closest atoms and distances in Å follow each position.
Space group P2/m (No. 10)
Asymmetric unit:
Al1 0.0000 0.0000 0.0000  2 Al 2.71, 4 W 2.72, 2 V 2.72
V1 0.5000 0.0000 0.5000  4 W 2.67, 2 V 2.71, 2 Al 2.72
W1 0.2638 0.5000 0.7456  2 V 2.67, 4 W 2.71-2.74, 2 Al 2.72

Output
total magnetic moment	0.00	μB per cell
DFT formation energy	-0.0517	eV/atom


[5]
Here is a relaxed structure of Sm3Ho2Cd4 from the Alexandria database. Energies are from GGA-PBE.

a b c (Å): 6.6568 19.3697 8.0948
angles (deg): 90.00 90.00 90.00
Closest atoms and distances in Å follow each position.
Space group Cmce (No. 64)
Asymmetric unit:
Sm1 0.0000 0.0000 0.0000  6 Cd 3.03
Sm2 0.2500 0.2458 0.2500  5 Cd 3.13-3.25, 2 Sm 3.33
Ho1 0.0000 0.0897 0.6007  5 Cd 3.30-3.63, 1 Sm 3.67
Cd1 0.0000 0.1564 0.9788  5 Sm 3.03-3.25, 2 Cd 3.14, 1 Ho 3.32
Cd2 0.2500 0.0784 0.2500  3 Sm 3.03-3.24, 4 Cd 3.14-3.33, 2 Ho 3.30

Output
total magnetic moment	0.01	μB per cell
DFT formation energy	-0.1191	eV/atom


[6]
Here is a relaxed structure of Li2Ag10Hg from the Alexandria database. Energies are from GGA-PBE.

a b c (Å): 5.3605 13.0705 13.7061
angles (deg): 90.00 90.00 90.00
Closest atoms and distances in Å follow each position.
Space group Fmmm (No. 69)
Asymmetric unit:
Li1 0.2500 0.2500 0.0000  8 Ag 2.66-2.85, 2 Li 2.68
Ag1 0.0000 0.1117 0.1032  2 Li 2.66, 7 Ag 2.82-2.97
Ag2 0.0000 0.1794 0.3290  6 Ag 2.85-2.97, 2 Li 2.85
Ag3 0.2500 0.0000 0.2500  10 Ag 2.68-2.91
Hg1 0.0000 0.0000 0.5000  16 Ag 3.32-3.68, 4 Li 3.53

Output
total magnetic moment	0.00	μB per cell
DFT formation energy	0.0429	eV/atom


[7]
Here is a relaxed structure of CaTaSnI2 from the Alexandria database. Energies are from GGA-PBE.

a b c (Å): 5.7190 5.7190 6.3984
angles (deg): 90.00 90.00 90.00
Closest atoms and distances in Å follow each position.
Space group P4/mmm (No. 123)
Asymmetric unit:
Ca1 0.0000 0.0000 0.0000  4 I 2.86, 2 Sn 3.20
Ta1 0.5000 0.5000 0.5000  4 Sn 4.04, 8 I 4.29
Sn1 0.0000 0.0000 0.5000  2 Ca 3.20
I1 0.0000 0.5000 0.0000  2 Ca 2.86

Output
energy relative to the elements, uncorrected	0.959	eV/atom
total magnetic moment	2.65	μB per cell


[8]
Here is a relaxed structure of CaReIr2 from the Alexandria database. Energies are from GGA-PBE.

a b c (Å): 2.8102 4.6422 10.5264
angles (deg): 90.00 90.00 90.00
Closest atoms and distances in Å follow each position.
Space group Imm2 (No. 44)
Asymmetric unit:
Ca1 0.0000 0.0000 0.0000  4 Ir 2.71, 2 Ca 2.81
Re1 0.0000 0.5000 0.2119  6 Ir 2.61-2.80, 2 Re 2.81
Ir1 0.0000 0.0000 0.5025  2 Re 2.61, 4 Ca 2.71, 4 Ir 2.75-2.81
Ir2 0.0000 0.5000 0.7778  4 Ir 2.75-2.81, 4 Re 2.80

Output
offset from the most stable computed form	0.28	eV per formula unit
total magnetic moment	0.00	μB per cell
DFT formation energy	0.1055	eV/atom